No. 1
The following is a DFT calculation (GGA-PBEsol) of a geometry-optimized YMg2Cu2 structure.

Cell lengths 4.084, 5.229, 9.169 Å; angles 90.00, 102.87, 90.00 degrees
Positions (direct):
1 Cu 0.846 0.125 0.692
2 Cu 0.154 0.625 0.308
3 Cu 0.683 0.889 0.367
4 Cu 0.317 0.389 0.633
5 Mg 0.720 0.385 0.440
6 Mg 0.280 0.885 0.560
7 Mg 0.556 0.617 0.112
8 Mg 0.444 0.117 0.888
9 Y 0.913 0.617 0.827
10 Y 0.087 0.117 0.173

Computed properties:
Raw total energy ... -3.9005 eV per atom
Space group ... Cmc2_1 (36)
Calculated formation energy ... -0.1156 eV per atom
E above lowest polymorph ... 12.5 meV/atom



No. 2
The following is a DFT calculation (GGA-PBEsol) of a geometry-optimized Sn2Ge2O7 structure.

Cell lengths 6.825, 6.879, 13.161 Å; angles 80.04, 83.49, 81.57 degrees
Positions (direct):
1 Sn 0.442 0.239 0.132
2 Sn 0.081 0.685 0.138
3 Sn 0.665 0.237 0.361
4 Sn 0.146 0.909 0.348
5 Sn 0.854 0.091 0.652
6 Sn 0.335 0.763 0.639
7 Sn 0.919 0.315 0.862
8 Sn 0.558 0.761 0.868
9 Ge 0.942 0.209 0.127
10 Ge 0.567 0.701 0.197
11 Ge 0.148 0.389 0.370
12 Ge 0.648 0.728 0.422
13 Ge 0.352 0.272 0.578
14 Ge 0.852 0.611 0.630
15 Ge 0.433 0.299 0.803
16 Ge 0.058 0.791 0.873
17 O 0.155 0.787 0.989
18 O 0.106 0.378 0.138
19 O 0.787 0.714 0.119
20 O 0.396 0.588 0.143
21 O 0.717 0.272 0.204
22 O 0.063 0.973 0.179
23 O 0.448 0.917 0.241
24 O 0.624 0.564 0.331
25 O 0.372 0.259 0.317
26 O 0.077 0.625 0.299
27 O 0.764 0.938 0.373
28 O 0.964 0.235 0.374
29 O 0.413 0.781 0.487
30 O 0.195 0.433 0.493
31 O 0.805 0.567 0.507
32 O 0.587 0.219 0.513
33 O 0.036 0.765 0.626
34 O 0.236 0.062 0.627
35 O 0.923 0.375 0.701
36 O 0.628 0.741 0.683
37 O 0.376 0.436 0.669
38 O 0.552 0.083 0.759
39 O 0.937 0.027 0.821
40 O 0.283 0.728 0.796
41 O 0.604 0.412 0.857
42 O 0.213 0.286 0.881
43 O 0.894 0.622 0.862
44 O 0.845 0.213 0.011

Computed properties:
Raw total energy ... -6.5694 eV per atom
Space group ... P-1 (2)
Formation energy without anion corrections ... -1556.5 meV/atom



No. 3
The following is a DFT calculation (GGA-PBEsol) of a geometry-optimized LiY2Cd structure.

Cell lengths 3.594, 5.177, 6.134 Å; angles 114.96, 107.03, 90.00 degrees
Positions (direct):
1 Y 0.987 0.987 0.973
2 Y 0.767 0.267 0.534
3 Cd 0.527 0.527 0.054
4 Li 0.219 0.719 0.438

Computed properties:
Raw total energy ... -4.2992 eV per atom
Space group ... Imm2 (44)
Calculated formation energy ... -0.0972 eV per atom
E above lowest polymorph ... 56.5 meV/atom



No. 4
The following is a DFT calculation (GGA-PBEsol) of a geometry-optimized CoRh2W structure.

Cell lengths 3.728, 3.739, 3.739 Å; angles 90.00, 90.00, 90.00 degrees
Positions (direct):
1 Rh 0.000 0.000 0.500
2 Rh 0.000 0.500 0.000
3 Co 0.500 0.000 0.000
4 W 0.500 0.500 0.500

Computed properties:
Raw total energy ... -9.6115 eV per atom
Space group ... P4/mmm (123)
Calculated formation energy ... -0.1561 eV per atom
E above lowest polymorph ... 0.0 meV/atom